No. 1
Sm6Rh5 GGA-PBE relaxed; space-group type = No. 10; formation enthalpy at 0 K = -64.24 kJ/mol of atoms; M_tot = 0.0 μB/f.u.; crystal system = monoclinic; total energy = -6.58 eV/atom
1.0
4.651 0.000 1.628
0.000 7.023 0.000
-0.096 0.000 7.777
Rh Sm
5 6
direct
0.671 0.500 0.658
0.000 0.500 0.000
0.334 0.000 0.332
0.666 0.000 0.668
0.329 0.500 0.342
0.834 0.251 0.332
0.500 0.252 0.000
0.166 0.749 0.668
0.500 0.748 0.000
0.834 0.749 0.332
0.166 0.251 0.668

***

No. 2
TaBe2Cu2 GGA-PBE relaxed; space-group type = No. 127; formation enthalpy at 0 K = 5.69 kJ/mol of atoms; M_tot = 0.0 μB/f.u.; crystal system = tetragonal; total energy = -5.44 eV/atom
1.0
-0.312 -0.318 -6.836
5.828 -3.598 -0.099
-1.318 -2.139 0.160
Cu Be Ta
4 4 2
direct
0.626 0.126 0.000
0.374 0.874 0.000
0.126 0.374 0.000
0.874 0.626 0.000
0.171 0.671 0.500
0.829 0.329 0.500
0.671 0.829 0.500
0.329 0.171 0.500
0.500 0.500 0.000
0.000 0.000 0.000

***

No. 3
Zr2MoCl GGA-PBE relaxed; space-group type = No. 122; M_tot = 0.0 μB/f.u.; formation energy without anion corrections = 0.606 eV per atom; crystal system = tetragonal; total energy = -6.84 eV/atom
1.0
-3.205 4.057 2.049
-2.349 -3.625 3.503
1.926 1.609 7.372
Cl Zr Mo
2 4 2
direct
0.500 0.500 0.000
0.250 0.750 0.500
0.648 0.125 0.250
0.875 0.898 0.750
0.102 0.625 0.250
0.375 0.352 0.750
0.750 0.250 0.500
0.000 0.000 0.000

***

No. 4
ScSi3Sb GGA-PBE relaxed; space-group type = No. 221; M_tot = 0.0 μB/f.u.; formation energy without anion corrections = 1.128 eV per atom; crystal system = cubic; total energy = -4.22 eV/atom
1.0
5.098 0.000 0.000
0.000 5.098 0.000
0.000 0.000 5.098
Si Sb Sc
3 1 1
direct
0.000 0.000 0.500
0.000 0.500 0.000
0.500 0.000 0.000
0.000 0.000 0.000
0.500 0.500 0.500

***

Please write out number 1 again, unchanged.
Sm6Rh5 GGA-PBE relaxed; space-group type = No. 10; formation enthalpy at 0 K = -64.24 kJ/mol of atoms; M_tot = 0.0 μB/f.u.; crystal system = monoclinic; total energy = -6.58 eV/atom
1.0
4.651 0.000 1.628
0.000 7.023 0.000
-0.096 0.000 7.777
Rh Sm
5 6
direct
0.671 0.500 0.658
0.000 0.500 0.000
0.334 0.000 0.332
0.666 0.000 0.668
0.329 0.500 0.342
0.834 0.251 0.332
0.500 0.252 0.000
0.166 0.749 0.668
0.500 0.748 0.000
0.834 0.749 0.332
0.166 0.251 0.668

***

Among the records above, which one has the lowest total energy?
Zr2MoCl

***

total energy of number 1 (Sm6Rh5)?
-6.58 eV/atom